[1]
GGA-PBE BaW, relaxed; DFT total energy = -6.124 eV per atom; SG = P6_3/mmc (194); polymorph energy (0 for the lowest one) = 537 meV per atom; magnetic moment = 0.00 μB per atom
1.0
5.983 0.000 0.000
-2.991 5.181 0.000
0.000 0.000 4.775
Ba W
2 2
Cartesian
0.000 3.454 1.194
2.991 1.727 3.581
0.000 0.000 0.000
0.000 0.000 2.387

***

[2]
GGA-PBE BaW2, relaxed; DFT total energy = -8.006 eV per atom; SG = P6/mmm (191); polymorph energy (0 for the lowest one) = 599 meV per atom; magnetic moment = 0.00 μB per atom
1.0
4.257 0.000 0.000
-2.128 3.686 0.000
0.000 0.000 5.539
Ba W
1 2
Cartesian
0.000 0.000 0.000
0.000 2.458 2.769
2.128 1.229 2.769

***

[3]
GGA-PBE BaW, relaxed; DFT total energy = -5.735 eV per atom; SG = P4_2/mnm (136); polymorph energy (0 for the lowest one) = 927 meV per atom; magnetic moment = 0.00 μB per atom
1.0
6.880 0.000 0.000
0.000 6.880 0.000
0.000 0.000 6.704
Ba W
4 4
Cartesian
1.241 5.639 0.000
4.681 4.681 3.352
2.199 2.199 3.352
5.639 1.241 0.000
2.666 2.666 0.000
6.106 0.775 3.352
0.775 6.106 3.352
4.215 4.215 0.000

***

What did the second record say?
GGA-PBE BaW2, relaxed; DFT total energy = -8.006 eV per atom; SG = P6/mmm (191); polymorph energy (0 for the lowest one) = 599 meV per atom; magnetic moment = 0.00 μB per atom
1.0
4.257 0.000 0.000
-2.128 3.686 0.000
0.000 0.000 5.539
Ba W
1 2
Cartesian
0.000 0.000 0.000
0.000 2.458 2.769
2.128 1.229 2.769

***

Q: Which of these has the lowest DFT total energy?
A: BaW2

***

Q: The highest DFT total energy belongs to which entry?
A: number 3